[1]
{"formula": "Li4In2P", "functional": "GGA-PBE", "state": "relaxed", "cell": [[-2.107, 2.006, 3.686], [2.819, -2.378, 2.906], [4.966, 5.031, 3.093]], "species": ["In", "Li", "Li", "P", "In", "Li", "Li"], "fractional_positions": [[0.623, 0.623, 0.754], [0.826, 0.826, 0.347], [0.500, 0.000, 0.000], [0.000, 0.000, 0.000], [0.377, 0.377, 0.246], [0.000, 0.500, 0.000], [0.174, 0.174, 0.653]], "total_energy_ev_per_atom": -2.820}

=====

[2]
{"formula": "DyNbTl2O6", "functional": "GGA-PBE", "state": "relaxed", "cell": [[-0.946, -5.238, -2.818], [4.647, -3.607, -1.292], [0.702, -5.189, 2.974]], "species": ["Nb", "O", "Tl", "O", "Tl", "O", "O", "O", "Dy", "O"], "fractional_positions": [[0.500, 0.500, 0.500], [0.264, 0.264, 0.736], [0.250, 0.250, 0.250], [0.736, 0.736, 0.264], [0.750, 0.750, 0.750], [0.264, 0.736, 0.264], [0.264, 0.736, 0.736], [0.736, 0.264, 0.736], [0.000, 0.000, 0.000], [0.736, 0.264, 0.264]], "total_energy_ev_per_atom": -6.781, "raw_formation_energy_ev_per_fu": -18.66}

=====

[3]
{"formula": "Pr5Al2Tl", "functional": "GGA-PBE", "state": "relaxed", "cell": [[-0.424, -2.665, -7.632], [-4.617, -6.193, 2.420], [-3.684, 8.618, 1.488]], "species": ["Pr", "Pr", "Al", "Pr", "Pr", "Pr", "Pr", "Tl", "Al", "Pr", "Pr", "Pr", "Al", "Pr", "Al", "Tl"], "fractional_positions": [[0.500, 0.500, 0.000], [0.181, 0.025, 0.706], [0.883, 0.617, 0.000], [0.819, 0.975, 0.294], [0.975, 0.475, 0.294], [0.475, 0.319, 0.294], [0.319, 0.819, 0.294], [0.750, 0.750, 0.500], [0.117, 0.383, 0.000], [0.025, 0.525, 0.706], [0.000, 0.000, 0.000], [0.525, 0.681, 0.706], [0.617, 0.117, 0.000], [0.681, 0.181, 0.706], [0.383, 0.883, 0.000], [0.250, 0.250, 0.500]], "total_energy_ev_per_atom": -4.499}

=====

[4]
{"formula": "ScMo5", "functional": "GGA-PBE", "state": "relaxed", "cell": [[-4.939, -1.813, -0.361], [-3.848, 3.159, -1.737], [-2.162, -0.837, -4.736]], "species": ["Mo", "Mo", "Sc", "Mo", "Mo", "Mo"], "fractional_positions": [[0.625, 0.625, 0.126], [0.250, 0.250, 0.250], [0.000, 0.000, 0.000], [0.126, 0.625, 0.625], [0.625, 0.625, 0.625], [0.625, 0.126, 0.625]], "total_energy_ev_per_atom": -9.979}